Entry 1:
The following is a DFT calculation (PBE-GGA) of an optimized crystal structure of AgBrCl4.

The space-group type is C2/c, No. 15. Its size of the total moment is 0.0000 μB/atom. The volume is 31.60 Å³ per atom. As for the formation energy without anion corrections: -0.10 eV per atom. The excess energy over the best structure of this formula in the dataset comes out at 0.000 eV/atom. The calculation puts the density of states at the Fermi level at 4.0 states/eV/f.u.

The structure in extended XYZ format:
```
12
Lattice="4.057 -8.677 0.000 4.057 8.677 0.000 -3.699 0.000 5.387" Properties=species:S:1:pos:R:3 pbc="T T T"
Ag 1.282 7.726 4.040
Ag 3.132 -7.726 1.347
Br 3.132 2.701 1.347
Br 1.282 -2.701 4.040
Cl 0.795 2.971 1.428
Cl -0.876 0.923 3.723
Cl 0.973 -0.923 1.030
Cl -1.055 -2.971 4.121
Cl 5.469 2.971 1.266
Cl 3.441 0.923 4.357
Cl 5.290 -0.923 1.664
Cl 3.620 -2.971 3.959
```

Entry 2:
The following is a DFT calculation (PBE-GGA) of an optimized crystal structure of ThAg4Sn.

The space-group type is F-43m, No. 216. Its size of the total moment is 0.0000 μB/atom. The volume is 21.75 Å³ per atom. For the calculated formation energy, the calculation gives -70.0 meV/atom. The calculation puts the density of states at the Fermi level at 4.8 states/eV/f.u.

The structure in extended XYZ format:
```
6
Lattice="0.000 4.026 4.026 4.026 0.000 4.026 4.026 4.026 0.000" Properties=species:S:1:pos:R:3 pbc="T T T"
Th 0.000 0.000 0.000
Ag 5.033 3.019 3.019
Ag 3.019 5.033 3.019
Ag 3.019 3.019 5.033
Ag 5.033 5.033 5.033
Sn 2.013 2.013 2.013
```

Entry 3:
The following is a DFT calculation (PBE-GGA) of an optimized crystal structure of AcBi4Au4.

The space-group type is I4/m, No. 87. Its size of the total moment is 0.0000 μB/atom. The volume is 28.43 Å³ per atom. For the calculated formation energy, the calculation gives -273.1 meV/atom. The calculation puts the density of states at the Fermi level at 3.3 states/eV/f.u.

The structure in extended XYZ format:
```
9
Lattice="-4.985 4.985 2.574 4.985 -4.985 2.574 4.985 4.985 -2.574" Properties=species:S:1:pos:R:3 pbc="T T T"
Ac 0.000 0.000 0.000
Bi 6.475 1.320 0.000
Bi 1.320 3.495 0.000
Bi 3.664 1.490 2.574
Bi -1.490 3.664 2.574
Au 4.168 3.059 0.000
Au 1.926 -0.817 2.574
Au 3.059 5.802 0.000
Au 0.817 1.926 2.574
```

Entry 4:
The following is a DFT calculation (PBE-GGA) of an optimized crystal structure of NaZnSn2.

The space-group type is R3m, No. 160. Its size of the total moment is 0.0000 μB/atom. The volume is 27.43 Å³ per atom. For the calculated formation energy, the calculation gives -17.2 meV/atom. The calculation puts the density of states at the Fermi level at 1.7 states/eV/f.u.

The structure in extended XYZ format:
```
4
Lattice="2.224 1.284 6.401 -2.224 1.284 6.401 0.000 -2.569 6.401" Properties=species:S:1:pos:R:3 pbc="T T T"
Na 0.000 0.000 0.000
Zn 0.000 0.000 15.889
Sn 0.000 0.000 4.237
Sn 0.000 0.000 8.427
```

Entry 5:
The following is a DFT calculation (PBE-GGA) of an optimized crystal structure of Tb3HoCl.

The space-group type is Pm-3m, No. 221. Its size of the total moment is 0.0000 μB/atom. The volume is 29.63 Å³ per atom. As for the formation energy without anion corrections: -0.45 eV per atom. The calculation puts the density of states at the Fermi level at 5.4 states/eV/f.u.

The structure in extended XYZ format:
```
5
Lattice="5.291 0.000 0.000 0.000 5.291 0.000 0.000 0.000 5.291" Properties=species:S:1:pos:R:3 pbc="T T T"
Tb 0.000 0.000 2.646
Tb 0.000 2.646 0.000
Tb 2.646 0.000 0.000
Ho 2.646 2.646 2.646
Cl 0.000 0.000 0.000
```

Entry 6:
The following is a DFT calculation (PBE-GGA) of an optimized crystal structure of LiTlAg2As.

The space-group type is P4/mmm, No. 123. Its size of the total moment is 0.0000 μB/atom. The volume is 28.51 Å³ per atom. For the calculated formation energy, the calculation gives 260.5 meV/atom. The calculation puts the density of states at the Fermi level at 2.6 states/eV/f.u.

The structure in extended XYZ format:
```
5
Lattice="4.902 0.000 0.000 0.000 4.902 0.000 0.000 0.000 5.932" Properties=species:S:1:pos:R:3 pbc="T T T"
Li 0.000 0.000 0.000
Tl 2.451 2.451 0.000
Ag 0.000 2.451 2.966
Ag 2.451 0.000 2.966
As 2.451 2.451 2.966
```